(1)
Material: Dy3TcO6
Method: DFT, PBE-GGA
State: relaxed

Summary:
Calculated density ... 8.4 Mg/m³
Crystal system ... trigonal
Magnetization ... 0.2004 μB per atom
Raw formation energy ... -2930 meV per atom

CIF file:
```
data_Dy3TcO6
_chemical_formula_sum 'Dy18 Tc6 O36'
_cell_length_a 9.8638
_cell_length_b 9.8638
_cell_length_c 9.5426
_cell_angle_alpha 90.00
_cell_angle_beta 90.00
_cell_angle_gamma 120.00
_symmetry_space_group_name_H-M 'R -3'
_symmetry_Int_Tables_number 148
_symmetry_space_group_name_Hall '-R 3'
loop_
_atom_site_label
_atom_site_fract_x
_atom_site_fract_y
_atom_site_fract_z
Dy1 0.0480 0.7786 0.1656
Tc1 0.0000 0.0000 0.0000
Tc2 0.0000 0.0000 0.5000
O1 0.0318 0.8233 0.9017
O2 0.0430 0.8420 0.3942
```

=====

(2)
Material: DyTcO5
Method: DFT, PBE-GGA
State: relaxed

Summary:
Calculated density ... 4.4 Mg/m³
Crystal system ... monoclinic
Magnetization ... 0.0000 μB per atom
Energy above the most stable polymorph in this dataset ... 0.000 eV/atom
Raw formation energy ... -2057 meV per atom

CIF file:
```
data_DyTcO5
_chemical_formula_sum 'Dy4 Tc4 O20'
_cell_length_a 8.2107
_cell_length_b 7.9220
_cell_length_c 8.7442
_cell_angle_alpha 90.00
_cell_angle_beta 116.11
_cell_angle_gamma 90.00
_symmetry_space_group_name_H-M 'C 1 2/c 1'
_symmetry_Int_Tables_number 15
loop_
_symmetry_equiv_pos_as_xyz
'x,y,z'
'-x,-y,-z'
'-x,y,-z+1/2'
'x,-y,z+1/2'
'x+1/2,y+1/2,z'
'-x+1/2,-y+1/2,-z'
'-x+1/2,y+1/2,-z+1/2'
'x+1/2,-y+1/2,z+1/2'
loop_
_atom_site_label
_atom_site_fract_x
_atom_site_fract_y
_atom_site_fract_z
Dy1 0.0000 0.0000 0.0000
Tc1 0.0000 0.3212 0.2500
O1 0.0000 0.0685 0.2500
O2 0.0334 0.2775 0.0599
O3 0.1957 0.4467 0.3529
```

=====

(3)
Material: DyTcO4
Method: DFT, PBE-GGA
State: relaxed

Summary:
Calculated density ... 7.3 Mg/m³
Crystal system ... monoclinic
Magnetization ... 0.1678 μB per atom
Energy above the most stable polymorph in this dataset ... 0.000 eV/atom
Raw formation energy ... -2298 meV per atom

CIF file:
```
data_DyTcO4
_chemical_formula_sum 'Dy4 Tc4 O16'
_cell_length_a 7.5864
_cell_length_b 5.3144
_cell_length_c 7.4726
_cell_angle_alpha 90.00
_cell_angle_beta 99.42
_cell_angle_gamma 90.00
_symmetry_space_group_name_H-M 'P 1 21/c 1'
_symmetry_Int_Tables_number 14
loop_
_symmetry_equiv_pos_as_xyz
'x,y,z'
'-x,-y,-z'
'-x,y+1/2,-z+1/2'
'x,-y+1/2,z+1/2'
loop_
_atom_site_label
_atom_site_fract_x
_atom_site_fract_y
_atom_site_fract_z
Dy1 0.1485 0.2139 0.3933
Tc1 0.3375 0.7305 0.2003
O1 0.1100 0.5127 0.1734
O2 0.1807 0.0068 0.1219
O3 0.3291 0.6427 0.9437
O4 0.4397 0.0986 0.7990
```

=====

(4)
Material: Dy4Tc6O19
Method: DFT, PBE-GGA
State: relaxed

Summary:
Calculated density ... 7.1 Mg/m³
Crystal system ... cubic
Magnetization ... 0.0000 μB per atom
Raw formation energy ... -2117 meV per atom

CIF file:
```
data_Dy4Tc6O19
_chemical_formula_sum 'Dy8 Tc12 O38'
_cell_length_a 8.9715
_cell_length_b 8.9715
_cell_length_c 8.9715
_cell_angle_alpha 90.00
_cell_angle_beta 90.00
_cell_angle_gamma 90.00
_symmetry_space_group_name_H-M 'I 2 3'
_symmetry_Int_Tables_number 197
_symmetry_space_group_name_Hall 'I 2 2 3'
loop_
_atom_site_label
_atom_site_fract_x
_atom_site_fract_y
_atom_site_fract_z
Dy1 0.1471 0.1471 0.1471
Tc1 0.0000 0.1345 0.5000
O1 0.0000 0.0000 0.0000
O2 0.0000 0.0000 0.3165
O3 0.0261 0.2822 0.3390
```